{"formula": "CrGa2PN", "functional": "PBE", "state": "optimized geometry", "lattice": [[4.669, 0.000, 0.000], [0.000, 4.552, 0.000], [0.000, 0.000, 4.669]], "species": ["Cr", "Ga", "N", "Ga", "P"], "fractional_positions": [[0.000, 0.500, 0.000], [0.000, 0.000, 0.500], [0.500, 0.500, 0.500], [0.500, 0.000, 0.000], [0.000, 0.000, 0.000]], "e_tot_ev_per_cell": -22.839, "formation_energy_uncorrected_kcal_per_mol_atoms": 30.32, "m_tot_mub_per_fu": 3.36}



{"formula": "Pa2CrGaN5", "functional": "PBE", "state": "optimized geometry", "lattice": [[-1.370, 1.691, 2.465], [5.006, -3.824, 3.212], [6.166, 6.947, -1.338]], "species": ["N", "Pa", "N", "N", "Pa", "Ga", "N", "N", "N", "N", "Cr", "Cr", "Pa", "Ga", "N", "Pa", "N", "N"], "fractional_positions": [[0.630, 0.261, 0.514], [0.867, 0.733, 0.787], [0.714, 0.427, 0.150], [0.926, 0.853, 0.538], [0.872, 0.744, 0.212], [0.482, 0.965, 0.484], [0.074, 0.147, 0.038], [0.707, 0.413, 0.861], [0.286, 0.573, 0.650], [0.370, 0.739, 0.014], [0.780, 0.560, 0.505], [0.220, 0.440, 0.005], [0.133, 0.267, 0.287], [0.518, 0.035, 0.984], [0.500, 0.000, 0.273], [0.128, 0.256, 0.712], [0.500, 0.000, 0.773], [0.293, 0.587, 0.361]], "e_tot_ev_per_cell": -164.826, "formation_energy_uncorrected_kcal_per_mol_atoms": -23.43, "m_tot_mub_per_fu": 2.28}



{"formula": "Cr2GaRuN", "functional": "PBE", "state": "optimized geometry", "lattice": [[3.838, 0.000, 0.000], [0.000, 3.838, 0.000], [0.000, 0.000, 4.075]], "species": ["Cr", "Cr", "Ga", "N", "Ru"], "fractional_positions": [[0.000, 0.500, 0.000], [0.500, 0.000, 0.000], [0.500, 0.500, 0.500], [0.000, 0.000, 0.000], [0.000, 0.000, 0.500]], "e_tot_ev_per_cell": -40.780, "formation_energy_uncorrected_kcal_per_mol_atoms": -4.18, "m_tot_mub_per_fu": 2.65}



{"formula": "CrGaSN2", "functional": "PBE", "state": "optimized geometry", "lattice": [[3.656, 0.000, 0.000], [0.000, 3.656, 0.000], [0.000, 0.000, 5.011]], "species": ["Ga", "S", "N", "Cr", "N"], "fractional_positions": [[0.500, 0.500, 0.500], [0.000, 0.000, 0.500], [0.000, 0.500, 0.000], [0.000, 0.000, 0.000], [0.500, 0.000, 0.000]], "e_tot_ev_per_cell": -31.767, "formation_energy_uncorrected_kcal_per_mol_atoms": 7.66, "m_tot_mub_per_fu": 0.11, "relative_energy_mev_per_atom": 0}



{"formula": "CrGaS2N", "functional": "PBE", "state": "optimized geometry", "lattice": [[-3.337, 0.043, -3.314], [1.086, -4.429, -1.152], [-2.349, -1.187, 2.350]], "species": ["S", "Ga", "Cr", "N", "S"], "fractional_positions": [[0.000, 0.500, 0.000], [0.500, 0.500, 0.500], [0.000, 0.000, 0.000], [0.000, 0.000, 0.500], [0.500, 0.000, 0.000]], "e_tot_ev_per_cell": -28.834, "formation_energy_uncorrected_kcal_per_mol_atoms": 1.83, "m_tot_mub_per_fu": 0.00, "relative_energy_mev_per_atom": 0}



{"formula": "CrGaS2N", "functional": "PBE", "state": "optimized geometry", "lattice": [[-2.072, 4.333, 0.563], [0.100, -0.576, 4.800], [3.346, 1.584, 0.120]], "species": ["N", "Cr", "Ga", "S", "S"], "fractional_positions": [[0.000, 0.000, 0.500], [0.500, 0.500, 0.500], [0.000, 0.000, 0.000], [0.500, 0.000, 0.000], [0.000, 0.500, 0.000]], "e_tot_ev_per_cell": -25.827, "formation_energy_uncorrected_kcal_per_mol_atoms": 15.70, "m_tot_mub_per_fu": 2.00, "relative_energy_mev_per_atom": 601}



{"formula": "CrGaSN2", "functional": "PBE", "state": "optimized geometry", "lattice": [[3.816, 0.000, 0.000], [0.000, 3.816, 0.000], [0.000, 0.000, 5.069]], "species": ["S", "Cr", "N", "N", "Ga"], "fractional_positions": [[0.000, 0.000, 0.500], [0.500, 0.500, 0.500], [0.000, 0.500, 0.000], [0.500, 0.000, 0.000], [0.000, 0.000, 0.000]], "e_tot_ev_per_cell": -28.095, "formation_energy_uncorrected_kcal_per_mol_atoms": 24.60, "m_tot_mub_per_fu": 1.34, "relative_energy_mev_per_atom": 734}



{"formula": "CrGaSeN2", "functional": "PBE", "state": "optimized geometry", "lattice": [[3.860, 0.000, 0.000], [0.000, 3.860, 0.000], [0.000, 0.000, 5.376]], "species": ["N", "Ga", "Se", "Cr", "N"], "fractional_positions": [[0.500, 0.000, 0.000], [0.000, 0.000, 0.000], [0.000, 0.000, 0.500], [0.500, 0.500, 0.500], [0.000, 0.500, 0.000]], "e_tot_ev_per_cell": -27.330, "formation_energy_uncorrected_kcal_per_mol_atoms": 25.16, "m_tot_mub_per_fu": 1.13, "relative_energy_mev_per_atom": 726}



{"formula": "CrGaSeN2", "functional": "PBE", "state": "optimized geometry", "lattice": [[-0.781, -0.896, -3.497], [0.000, -3.578, 0.917], [-5.127, 0.275, 1.075]], "species": ["N", "Se", "Cr", "Ga", "N"], "fractional_positions": [[0.500, 0.000, 0.000], [0.000, 0.000, 0.500], [0.000, 0.000, 0.000], [0.500, 0.500, 0.500], [0.000, 0.500, 0.000]], "e_tot_ev_per_cell": -30.961, "formation_energy_uncorrected_kcal_per_mol_atoms": 8.41, "m_tot_mub_per_fu": 0.00, "relative_energy_mev_per_atom": 0}



{"formula": "CrGaTc2N", "functional": "PBE", "state": "optimized geometry", "lattice": [[-1.815, -0.272, -3.637], [3.386, -1.637, -1.567], [-1.282, -3.515, 0.903]], "species": ["Cr", "Tc", "Tc", "Ga", "N"], "fractional_positions": [[0.000, 0.000, 0.500], [0.000, 0.500, 0.000], [0.500, 0.000, 0.000], [0.500, 0.500, 0.500], [0.000, 0.000, 0.000]], "e_tot_ev_per_cell": -42.446, "formation_energy_uncorrected_kcal_per_mol_atoms": -3.41, "m_tot_mub_per_fu": 1.73}



{"formula": "Cr2GaTcN", "functional": "PBE", "state": "optimized geometry", "lattice": [[3.840, 0.000, 0.000], [0.000, 3.840, 0.000], [0.000, 0.000, 4.047]], "species": ["N", "Cr", "Ga", "Tc", "Cr"], "fractional_positions": [[0.000, 0.000, 0.000], [0.000, 0.500, 0.000], [0.500, 0.500, 0.500], [0.000, 0.000, 0.500], [0.500, 0.000, 0.000]], "e_tot_ev_per_cell": -41.928, "formation_energy_uncorrected_kcal_per_mol_atoms": -4.44, "m_tot_mub_per_fu": 0.94}



{"formula": "CrGaTeN2", "functional": "PBE", "state": "optimized geometry", "lattice": [[-3.678, 0.043, 1.001], [0.737, -2.464, 2.814], [0.999, 4.283, 3.487]], "species": ["N", "Te", "Ga", "Cr", "N"], "fractional_positions": [[0.500, 0.000, 0.000], [0.000, 0.000, 0.500], [0.500, 0.500, 0.500], [0.000, 0.000, 0.000], [0.000, 0.500, 0.000]], "e_tot_ev_per_cell": -29.842, "formation_energy_uncorrected_kcal_per_mol_atoms": 11.99, "m_tot_mub_per_fu": 0.14}



{"formula": "V2CrGaN", "functional": "PBE", "state": "optimized geometry", "lattice": [[-3.122, 2.236, -0.883], [-2.379, -3.081, 0.609], [-0.334, 0.986, 3.680]], "species": ["Ga", "V", "Cr", "V", "N"], "fractional_positions": [[0.500, 0.500, 0.500], [0.500, 0.000, 0.000], [0.000, 0.000, 0.500], [0.000, 0.500, 0.000], [0.000, 0.000, 0.000]], "e_tot_ev_per_cell": -41.681, "formation_energy_uncorrected_kcal_per_mol_atoms": -11.38, "m_tot_mub_per_fu": 0.00}



{"formula": "Cr2GaWN", "functional": "PBE", "state": "optimized geometry", "lattice": [[3.875, 0.000, 0.000], [0.000, 3.875, 0.000], [0.000, 0.000, 4.063]], "species": ["W", "Cr", "N", "Cr", "Ga"], "fractional_positions": [[0.000, 0.000, 0.500], [0.500, 0.000, 0.000], [0.000, 0.000, 0.000], [0.000, 0.500, 0.000], [0.500, 0.500, 0.500]], "e_tot_ev_per_cell": -44.159, "formation_energy_uncorrected_kcal_per_mol_atoms": -2.80, "m_tot_mub_per_fu": 0.03, "relative_energy_mev_per_atom": 0}



{"formula": "Cr2GaWN", "functional": "PBE", "state": "optimized geometry", "lattice": [[-0.320, 3.971, 2.656], [-2.126, -1.659, 2.223], [3.787, -1.412, 2.567]], "species": ["W", "Cr", "Ga", "Cr", "N"], "fractional_positions": [[0.500, 0.500, 0.500], [0.000, 0.000, 0.500], [0.000, 0.000, 0.000], [0.500, 0.000, 0.000], [0.000, 0.500, 0.000]], "e_tot_ev_per_cell": -34.780, "formation_energy_uncorrected_kcal_per_mol_atoms": 40.46, "m_tot_mub_per_fu": 4.03, "relative_energy_mev_per_atom": 1876}



{"formula": "Y2CrGaN", "functional": "PBE", "state": "optimized geometry", "lattice": [[-1.857, 1.406, -4.303], [-2.092, -4.391, -0.532], [-3.075, 1.255, 1.737]], "species": ["Y", "Cr", "Ga", "N", "Y"], "fractional_positions": [[0.500, 0.000, 0.000], [0.000, 0.000, 0.500], [0.500, 0.500, 0.500], [0.000, 0.000, 0.000], [0.000, 0.500, 0.000]], "e_tot_ev_per_cell": -37.636, "formation_energy_uncorrected_kcal_per_mol_atoms": -17.21, "m_tot_mub_per_fu": 0.00}



{"formula": "Zr2CrGaN", "functional": "PBE", "state": "optimized geometry", "lattice": [[-3.380, 0.602, -2.978], [-2.962, -1.641, 3.031], [-0.555, 3.458, 1.329]], "species": ["Zr", "Cr", "Zr", "Ga", "N"], "fractional_positions": [[0.500, 0.000, 0.000], [0.000, 0.000, 0.500], [0.000, 0.500, 0.000], [0.500, 0.500, 0.500], [0.000, 0.000, 0.000]], "e_tot_ev_per_cell": -41.720, "formation_energy_uncorrected_kcal_per_mol_atoms": -16.83, "m_tot_mub_per_fu": 0.00}



{"formula": "ZrCr2GaN", "functional": "PBE", "state": "optimized geometry", "lattice": [[4.902, 0.000, 0.000], [0.000, 3.642, 0.000], [0.000, 0.000, 4.902]], "species": ["Cr", "Ga", "N", "Zr", "Cr"], "fractional_positions": [[0.000, 0.000, 0.500], [0.000, 0.000, 0.000], [0.000, 0.500, 0.000], [0.500, 0.500, 0.500], [0.500, 0.000, 0.000]], "e_tot_ev_per_cell": -32.764, "formation_energy_uncorrected_kcal_per_mol_atoms": 29.44, "m_tot_mub_per_fu": 5.81}



{"formula": "NaCr2Ga2", "functional": "PBE", "state": "optimized geometry", "lattice": [[7.730, 0.000, 0.000], [0.000, 7.730, 0.000], [0.000, 0.000, 2.574]], "species": ["Ga", "Cr", "Cr", "Ga", "Cr", "Na", "Ga", "Ga", "Na", "Cr"], "fractional_positions": [[0.312, 0.188, 0.500], [0.602, 0.102, 0.000], [0.102, 0.398, 0.000], [0.812, 0.312, 0.500], [0.398, 0.898, 0.000], [0.500, 0.500, 0.000], [0.688, 0.812, 0.500], [0.188, 0.688, 0.500], [0.000, 0.000, 0.000], [0.898, 0.602, 0.000]], "e_tot_ev_per_cell": -51.588, "m_tot_mub_per_fu": 0.00, "relative_energy_mev_per_atom": 0}



{"formula": "NaCrGa2", "functional": "PBE", "state": "optimized geometry", "lattice": [[0.000, 3.269, 3.269], [3.269, 0.000, 3.269], [3.269, 3.269, 0.000]], "species": ["Cr", "Na", "Ga", "Ga"], "fractional_positions": [[0.500, 0.500, 0.500], [0.000, 0.000, 0.000], [0.750, 0.750, 0.750], [0.250, 0.250, 0.250]], "e_tot_ev_per_cell": -16.299, "m_tot_mub_per_fu": 3.44, "relative_energy_mev_per_atom": 0}